Entry from Alexandria via LeMat-Bulk: a geometry-optimized Pm2ThNi structure (GGA-PBE).

a = 3.5844 Å, b = 3.5844 Å, c = 10.8093 Å
α = 80.46°, β = 80.46°, γ = 60.00°
Last column: nearest neighbours and their distance in Å.
Atoms (fractional coordinates):
Ni 0.5000 0.5000 0.5000  6 Pm 2.75
Th 0.0000 0.0000 0.0000  2 Pm 3.49, 6 Th 3.58
Pm 0.1097 0.1097 0.6708  3 Ni 2.75
Pm 0.8903 0.8903 0.3292  3 Ni 2.75

The value obtained for the density is 8.2 g/cm³. The density of states at the Fermi level comes out at 0.9246 states/eV per atom. The value obtained for the uncorrected energy is -22.10 eV per cell. The value obtained for the total magnetization is 0.00 μB per formula unit. As for the energy above the lowest structure with this stoichiometry: 0.89 eV per formula unit.